A plane-wave DFT calculation with PBE was carried out for SO3F after structural relaxation.

Cell lengths 7.6915, 5.9817, 7.7711 Å; angles 90.00, 90.00, 90.00 degrees
Space group Ima2 (No. 46)
Unique sites:
S 0.2500 0.1342 0.0000
O 0.0911 0.2355 0.5118
O 0.2500 0.5181 0.3534
F 0.2500 0.5215 0.6644

Properties
* formation energy (no corrections): -1051 meV/atom
* M_tot: 1.02 μB/f.u.